DFT (GGA-PBE) results for PaP2Ir5 after structural relaxation.

abc: 6.139 6.139 6.139
angles: 142.61 112.35 79.94
Fractional positions:
Pa  0.000  0.000  0.000
P  0.254  0.754  0.500
P  0.746  0.246  0.500
Ir  0.147  0.357  0.790
Ir  0.433  0.643  0.790
Ir  0.500  0.000  0.500
Ir  0.567  0.357  0.210
Ir  0.853  0.643  0.210

Energy of formation   -0.68 eV/atom
Density of states at the Fermi level   3.1 states/eV/cell
Spin magnetization   0.0 μB/f.u.
E   -8.7575 eV/atom
SG   Immm